DFT (PBE with a Hubbard U) results for a relaxed structure of VGeNO2.

Crystal system   tetragonal
E   -6.40 eV per atom
Mass density   5.34 g cm⁻³

Geometry as CIF:
```
data_VGeNO2
_chemical_formula_sum 'V1 Ge1 N1 O2'
_cell_length_a 3.733
_cell_length_b 3.733
_cell_length_c 3.783
_cell_angle_alpha 90.00
_cell_angle_beta 90.00
_cell_angle_gamma 90.00
_symmetry_space_group_name_H-M 'P 4/m m m'
_symmetry_Int_Tables_number 123
_symmetry_space_group_name_Hall '-P 4 2'
loop_
_atom_site_label
_atom_site_fract_x
_atom_site_fract_y
_atom_site_fract_z
_atom_site_occupancy
V1 0.000 0.000 0.000 1
Ge1 0.500 0.500 0.500 1
N1 0.500 0.500 0.000 1
O1 0.000 0.500 0.500 1
```